Record 1
{"formula": "KSn4Pb12", "functional": "PBE", "state": "optimized geometry", "space_group": "No. 204", "total_magnetization_mub_per_fu": 0.00, "formation_enthalpy_0k_mev_per_atom": 99, "rho_g_cm3": 8.18, "lattice_angstrom": [[-5.340, 5.340, 5.340], [5.340, -5.340, 5.340], [5.340, 5.340, -5.340]], "species": ["K", "Sn", "Sn", "Sn", "Sn", "Pb", "Pb", "Pb", "Pb", "Pb", "Pb", "Pb", "Pb", "Pb", "Pb", "Pb", "Pb"], "fractional_positions": [[0.000, 0.000, 0.000], [0.000, 0.000, 0.500], [0.000, 0.500, 0.000], [0.500, 0.000, 0.000], [0.500, 0.500, 0.500], [0.150, 0.353, 0.503], [0.150, 0.647, 0.797], [0.203, 0.850, 0.353], [0.353, 0.203, 0.850], [0.353, 0.503, 0.150], [0.497, 0.850, 0.647], [0.503, 0.150, 0.353], [0.647, 0.497, 0.850], [0.647, 0.797, 0.150], [0.797, 0.150, 0.647], [0.850, 0.353, 0.203], [0.850, 0.647, 0.497]]}

=====

Record 2
{"formula": "RbSr2CdTc", "functional": "PBE", "state": "optimized geometry", "space_group": "No. 123", "total_magnetization_mub_per_fu": 0.00, "formation_enthalpy_0k_mev_per_atom": 773, "rho_g_cm3": 3.88, "lattice_angstrom": [[5.701, 0.000, 0.000], [0.000, 5.701, 0.000], [0.000, 0.000, 6.200]], "species": ["Rb", "Sr", "Sr", "Cd", "Tc"], "fractional_positions": [[0.000, 0.000, 0.000], [0.000, 0.500, 0.500], [0.500, 0.000, 0.500], [0.500, 0.500, 0.000], [0.000, 0.000, 0.500]]}

=====

Record 3
{"formula": "LiTiAl", "functional": "PBE", "state": "optimized geometry", "space_group": "No. 187", "total_magnetization_mub_per_fu": 0.62, "formation_enthalpy_0k_mev_per_atom": 220, "rho_g_cm3": 2.62, "e_above_lowest_polymorph_ev_per_fu": 1.283, "lattice_angstrom": [[4.720, 0.000, 0.000], [-2.360, 4.088, 0.000], [0.000, 0.000, 2.684]], "species": ["Li", "Ti", "Al"], "fractional_positions": [[0.000, 0.000, 0.000], [0.667, 0.333, 0.500], [0.333, 0.667, 0.500]]}

=====

Record 4
{"formula": "ThGaBi", "functional": "PBE", "state": "optimized geometry", "space_group": "No. 107", "total_magnetization_mub_per_fu": 0.00, "formation_enthalpy_0k_mev_per_atom": -277, "rho_g_cm3": 10.48, "e_above_lowest_polymorph_ev_per_fu": 0.063, "lattice_angstrom": [[-1.954, 1.954, 5.300], [1.954, -1.954, 5.300], [1.954, 1.954, -5.300]], "species": ["Th", "Ga", "Bi"], "fractional_positions": [[0.000, 0.000, 0.000], [0.678, 0.678, 0.000], [0.313, 0.313, 0.000]]}

=====

Record 5
{"formula": "TbHo2Mg9", "functional": "PBE", "state": "optimized geometry", "space_group": "No. 166", "total_magnetization_mub_per_fu": 0.00, "formation_enthalpy_0k_mev_per_atom": -29, "rho_g_cm3": 3.85, "lattice_angstrom": [[3.015, 1.741, 9.683], [-3.015, 1.741, 9.683], [0.000, -3.481, 9.683]], "species": ["Tb", "Ho", "Ho", "Mg", "Mg", "Mg", "Mg", "Mg", "Mg", "Mg", "Mg", "Mg"], "fractional_positions": [[0.000, 0.000, 0.000], [0.143, 0.143, 0.143], [0.857, 0.857, 0.857], [0.079, 0.587, 0.587], [0.334, 0.334, 0.334], [0.413, 0.413, 0.921], [0.413, 0.921, 0.413], [0.500, 0.500, 0.500], [0.587, 0.079, 0.587], [0.587, 0.587, 0.079], [0.666, 0.666, 0.666], [0.921, 0.413, 0.413]]}

=====

Record 6
{"formula": "Ho2ZnSi4Pd3", "functional": "PBE", "state": "optimized geometry", "formation_energy_uncorrected_kcal_per_mol_atoms": -17.9, "space_group": "No. 115", "total_magnetization_mub_per_fu": 0.00, "rho_g_cm3": 7.98, "lattice_angstrom": [[4.041, 0.000, 0.000], [0.000, 4.041, 0.000], [0.000, 0.000, 10.533]], "species": ["Ho", "Ho", "Zn", "Si", "Si", "Si", "Si", "Pd", "Pd", "Pd"], "fractional_positions": [[0.000, 0.500, 0.246], [0.500, 0.000, 0.754], [0.500, 0.500, 0.000], [0.000, 0.000, 0.500], [0.000, 0.500, 0.859], [0.500, 0.000, 0.141], [0.500, 0.500, 0.500], [0.000, 0.000, 0.000], [0.000, 0.500, 0.631], [0.500, 0.000, 0.369]]}